*1*
NdGdIn2: optimized geometry, PBE-GGA.

a = 3.8118 Å, b = 3.8118 Å, c = 7.7532 Å
α = 90.00°, β = 90.00°, γ = 90.00°
Space group P4/mmm (No. 123)
One atom of each set of equivalent atoms:
Nd 0.0000 0.0000 0.0000 [1 per cell]
Gd 0.0000 0.0000 0.5000 [1 per cell]
In 0.5000 0.5000 0.2573 [2 per cell]

=====

*2*
NdGdIn2: optimized geometry, PBE-GGA.

a = 7.6704 Å, b = 7.6704 Å, c = 7.6704 Å
α = 90.00°, β = 90.00°, γ = 90.00°
Space group Fm-3m (No. 225)
One atom of each set of equivalent atoms:
Nd 0.0000 0.0000 0.0000 [4 per cell]
Gd 0.0000 0.0000 0.5000 [4 per cell]
In 0.2500 0.2500 0.2500 [8 per cell]

=====

Least stable = *2*

=====

*1*
Nd2GdIn: optimized geometry, PBE-GGA.

a = 7.8824 Å, b = 7.8824 Å, c = 7.8824 Å
α = 90.00°, β = 90.00°, γ = 90.00°
Space group Fm-3m (No. 225)
One atom of each set of equivalent atoms:
Nd 0.2500 0.2500 0.2500 [8 per cell]
Gd 0.0000 0.0000 0.0000 [4 per cell]
In 0.0000 0.0000 0.5000 [4 per cell]

=====

*2*
Nd2GdIn: optimized geometry, PBE-GGA.

a = 4.2132 Å, b = 4.2132 Å, c = 7.0159 Å
α = 90.00°, β = 90.00°, γ = 90.00°
Space group P4/mmm (No. 123)
One atom of each set of equivalent atoms:
Nd 0.0000 0.0000 0.2342 [2 per cell]
Gd 0.5000 0.5000 0.5000 [1 per cell]
In 0.5000 0.5000 0.0000 [1 per cell]

=====

Least stable = *1*

=====

*1*
Gd3InO6: optimized geometry, PBE-GGA.

a = 9.1076 Å, b = 11.4245 Å, c = 5.6710 Å
α = 90.00°, β = 90.00°, γ = 90.00°
Space group Cmc2_1 (No. 36)
One atom of each set of equivalent atoms:
Gd 0.0000 0.1011 0.0000 [4 per cell]
Gd 0.1958 0.3941 0.0513 [8 per cell]
In 0.0000 0.3153 0.5689 [4 per cell]
O 0.0000 0.2814 0.2145 [4 per cell]
O 0.0000 0.4729 0.7629 [4 per cell]
O 0.1602 0.0176 0.2754 [8 per cell]
O 0.1643 0.2336 0.7717 [8 per cell]

=====

*2*
Gd3InO6: optimized geometry, PBE-GGA.

a = 9.7363 Å, b = 9.7363 Å, c = 11.2770 Å
α = 90.00°, β = 90.00°, γ = 120.00°
Space group R-3 (No. 148, hexagonal axes)
One atom of each set of equivalent atoms:
Gd 0.0403 0.2663 0.2066 [18 per cell]
In 0.0000 0.0000 0.0000 [3 per cell]
In 0.0000 0.0000 0.5000 [3 per cell]
O 0.0280 0.1865 0.8760 [18 per cell]
O 0.0279 0.2133 0.4033 [18 per cell]

=====

Least stable = *1*

=====

*1*
GdPaIn: optimized geometry, PBE-GGA.

a = 4.0220 Å, b = 4.0220 Å, c = 10.0415 Å
α = 90.00°, β = 90.00°, γ = 90.00°
Space group I4mm (No. 107)
One atom of each set of equivalent atoms:
Gd 0.0000 0.0000 0.0000 [2 per cell]
Pa 0.0000 0.0000 0.6824 [2 per cell]
In 0.0000 0.0000 0.3440 [2 per cell]

=====

*2*
GdPaIn: optimized geometry, PBE-GGA.

a = 5.3332 Å, b = 5.3332 Å, c = 3.0893 Å
α = 90.00°, β = 90.00°, γ = 120.00°
Space group P-6m2 (No. 187)
One atom of each set of equivalent atoms:
Gd 0.0000 0.0000 0.0000 [1 per cell]
Pa 0.3333 0.6667 0.0000 [1 per cell]
In 0.6667 0.3333 0.5000 [1 per cell]

=====

Least stable = *2*

=====

*1*
GdInPb2: optimized geometry, PBE-GGA.

a = 3.5405 Å, b = 3.5405 Å, c = 34.9985 Å
α = 90.00°, β = 90.00°, γ = 120.00°
Space group R-3m (No. 166, hexagonal axes)
One atom of each set of equivalent atoms:
Gd 0.0000 0.0000 0.0000 [3 per cell]
In 0.0000 0.0000 0.5000 [3 per cell]
Pb 0.0000 0.0000 0.0912 [6 per cell]

=====

*2*
GdInPb2: optimized geometry, PBE-GGA.

a = 4.8409 Å, b = 4.8409 Å, c = 4.7729 Å
α = 90.00°, β = 90.00°, γ = 90.00°
Space group P4/mmm (No. 123)
One atom of each set of equivalent atoms:
Gd 0.0000 0.0000 0.0000 [1 per cell]
In 0.5000 0.5000 0.0000 [1 per cell]
Pb 0.0000 0.5000 0.5000 [2 per cell]

=====

Least stable = *1*

=====

*1*
Gd2InPb: optimized geometry, PBE-GGA.

a = 3.7064 Å, b = 3.7064 Å, c = 30.0108 Å
α = 90.00°, β = 90.00°, γ = 120.00°
Space group R-3m (No. 166, hexagonal axes)
One atom of each set of equivalent atoms:
Gd 0.0000 0.0000 0.2476 [6 per cell]
In 0.0000 0.0000 0.5000 [3 per cell]
Pb 0.0000 0.0000 0.0000 [3 per cell]

=====

*2*
Gd2InPb: optimized geometry, PBE-GGA.

a = 4.9279 Å, b = 4.9279 Å, c = 4.5607 Å
α = 90.00°, β = 90.00°, γ = 90.00°
Space group P4/mmm (No. 123)
One atom of each set of equivalent atoms:
Gd 0.0000 0.5000 0.0000 [2 per cell]
In 0.0000 0.0000 0.5000 [1 per cell]
Pb 0.5000 0.5000 0.5000 [1 per cell]

=====

Least stable = *1*

=====

*1*
Gd2InPb: optimized geometry, PBE-GGA.

a = 7.6867 Å, b = 7.6867 Å, c = 7.6867 Å
α = 90.00°, β = 90.00°, γ = 90.00°
Space group Fm-3m (No. 225)
One atom of each set of equivalent atoms:
Gd 0.2500 0.2500 0.2500 [8 per cell]
In 0.0000 0.0000 0.0000 [4 per cell]
Pb 0.0000 0.0000 0.5000 [4 per cell]

=====

*2*
Gd2InPb: optimized geometry, PBE-GGA.

a = 4.0334 Å, b = 4.0334 Å, c = 6.9375 Å
α = 90.00°, β = 90.00°, γ = 90.00°
Space group P4/mmm (No. 123)
One atom of each set of equivalent atoms:
Gd 0.0000 0.0000 0.2495 [2 per cell]
In 0.5000 0.5000 0.5000 [1 per cell]
Pb 0.5000 0.5000 0.0000 [1 per cell]

=====

Least stable = *1*

=====

*1*
GdIn2Pb: optimized geometry, PBE-GGA.

a = 4.6314 Å, b = 4.6314 Å, c = 4.9734 Å
α = 90.00°, β = 90.00°, γ = 90.00°
Space group P4/mmm (No. 123)
One atom of each set of equivalent atoms:
Gd 0.0000 0.0000 0.0000 [1 per cell]
In 0.0000 0.5000 0.5000 [2 per cell]
Pb 0.5000 0.5000 0.0000 [1 per cell]

=====

*2*
GdIn2Pb: optimized geometry, PBE-GGA.

a = 3.9319 Å, b = 3.9319 Å, c = 7.1793 Å
α = 90.00°, β = 90.00°, γ = 90.00°
Space group P4/mmm (No. 123)
One atom of each set of equivalent atoms:
Gd 0.0000 0.0000 0.0000 [1 per cell]
In 0.5000 0.5000 0.2608 [2 per cell]
Pb 0.0000 0.0000 0.5000 [1 per cell]

=====

*3*
GdIn2Pb: optimized geometry, PBE-GGA.

a = 7.7062 Å, b = 7.7062 Å, c = 7.7062 Å
α = 90.00°, β = 90.00°, γ = 90.00°
Space group Fm-3m (No. 225)
One atom of each set of equivalent atoms:
Gd 0.0000 0.0000 0.0000 [4 per cell]
In 0.2500 0.2500 0.2500 [8 per cell]
Pb 0.0000 0.0000 0.5000 [4 per cell]

=====

Least stable = *3*

=====

*1*
PmGd2In: optimized geometry, PBE-GGA.

a = 3.5379 Å, b = 3.5379 Å, c = 36.5967 Å
α = 90.00°, β = 90.00°, γ = 120.00°
Space group R-3m (No. 166, hexagonal axes)
One atom of each set of equivalent atoms:
Pm 0.0000 0.0000 0.0000 [3 per cell]
Gd 0.0000 0.0000 0.4123 [6 per cell]
In 0.0000 0.0000 0.5000 [3 per cell]

=====

*2*
PmGd2In: optimized geometry, PBE-GGA.

a = 7.8010 Å, b = 7.8010 Å, c = 7.8010 Å
α = 90.00°, β = 90.00°, γ = 90.00°
Space group Fm-3m (No. 225)
One atom of each set of equivalent atoms:
Pm 0.0000 0.0000 0.0000 [4 per cell]
Gd 0.2500 0.2500 0.2500 [8 per cell]
In 0.0000 0.0000 0.5000 [4 per cell]

=====

*3*
PmGd2In: optimized geometry, PBE-GGA.

a = 3.6181 Å, b = 3.6181 Å, c = 9.3283 Å
α = 90.00°, β = 90.00°, γ = 90.00°
Space group P4/mmm (No. 123)
One atom of each set of equivalent atoms:
Pm 0.0000 0.0000 0.0000 [1 per cell]
Gd 0.5000 0.5000 0.2749 [2 per cell]
In 0.0000 0.0000 0.5000 [1 per cell]

=====

*4*
PmGd2In: optimized geometry, PBE-GGA.

a = 4.8972 Å, b = 4.8972 Å, c = 4.9271 Å
α = 90.00°, β = 90.00°, γ = 90.00°
Space group P4/mmm (No. 123)
One atom of each set of equivalent atoms:
Pm 0.0000 0.0000 0.0000 [1 per cell]
Gd 0.0000 0.5000 0.5000 [2 per cell]
In 0.5000 0.5000 0.0000 [1 per cell]

=====

Least stable = *1*

=====

*1*
Pm2GdIn: optimized geometry, PBE-GGA.

a = 7.8405 Å, b = 7.8405 Å, c = 7.8405 Å
α = 90.00°, β = 90.00°, γ = 90.00°
Space group Fm-3m (No. 225)
One atom of each set of equivalent atoms:
Pm 0.2500 0.2500 0.2500 [8 per cell]
Gd 0.0000 0.0000 0.0000 [4 per cell]
In 0.0000 0.0000 0.5000 [4 per cell]

=====

*2*
Pm2GdIn: optimized geometry, PBE-GGA.

a = 4.9429 Å, b = 4.9429 Å, c = 4.9140 Å
α = 90.00°, β = 90.00°, γ = 90.00°
Space group P4/mmm (No. 123)
One atom of each set of equivalent atoms:
Pm 0.0000 0.5000 0.0000 [2 per cell]
Gd 0.0000 0.0000 0.5000 [1 per cell]
In 0.5000 0.5000 0.5000 [1 per cell]

=====

Least stable = *1*

=====

*1*
PmGdIn: optimized geometry, PBE-GGA.

a = 5.2931 Å, b = 5.2931 Å, c = 3.6663 Å
α = 90.00°, β = 90.00°, γ = 120.00°
Space group P3m1 (No. 156)
One atom of each set of equivalent atoms:
Pm 0.0000 0.0000 0.0000 [1 per cell]
Gd 0.6667 0.3333 0.4253 [1 per cell]
In 0.3333 0.6667 0.6864 [1 per cell]

=====

*2*
PmGdIn: optimized geometry, PBE-GGA.

a = 3.7596 Å, b = 3.7596 Å, c = 12.8458 Å
α = 90.00°, β = 90.00°, γ = 90.00°
Space group I4mm (No. 107)
One atom of each set of equivalent atoms:
Pm 0.0000 0.0000 0.0000 [2 per cell]
Gd 0.0000 0.0000 0.3100 [2 per cell]
In 0.0000 0.0000 0.6578 [2 per cell]

=====

*3*
PmGdIn: optimized geometry, PBE-GGA.

a = 7.4650 Å, b = 7.4650 Å, c = 7.4650 Å
α = 90.00°, β = 90.00°, γ = 90.00°
Space group F-43m (No. 216)
One atom of each set of equivalent atoms:
Pm 0.0000 0.0000 0.0000 [4 per cell]
Gd 0.0000 0.0000 0.5000 [4 per cell]
In 0.2500 0.2500 0.2500 [4 per cell]

=====

Least stable = *3*

=====

*1*
PrGdIn2: optimized geometry, PBE-GGA.

a = 3.8281 Å, b = 3.8281 Å, c = 7.7658 Å
α = 90.00°, β = 90.00°, γ = 90.00°
Space group P4/mmm (No. 123)
One atom of each set of equivalent atoms:
Pr 0.0000 0.0000 0.0000 [1 per cell]
Gd 0.0000 0.0000 0.5000 [1 per cell]
In 0.5000 0.5000 0.2599 [2 per cell]

=====

*2*
PrGdIn2: optimized geometry, PBE-GGA.

a = 7.6997 Å, b = 7.6997 Å, c = 7.6997 Å
α = 90.00°, β = 90.00°, γ = 90.00°
Space group Fm-3m (No. 225)
One atom of each set of equivalent atoms:
Pr 0.0000 0.0000 0.0000 [4 per cell]
Gd 0.0000 0.0000 0.5000 [4 per cell]
In 0.2500 0.2500 0.2500 [8 per cell]

=====

Least stable = *2*